CuBIN2 after structural relaxation, computed with PBE.

The polymorph energy (0 for the lowest one) is 0.0000 eV/atom.

a = 3.378 Å, b = 3.378 Å, c = 7.288 Å
α = 90.00°, β = 90.00°, γ = 90.00°
Space group P4/mmm (No. 123)
One atom of each set of equivalent atoms:
Cu1 0.000 0.000 0.000 (multiplicity 1)
B1 0.500 0.500 0.500 (multiplicity 1)
I1 0.500 0.500 0.000 (multiplicity 1)
N1 0.000 0.500 0.500 (multiplicity 2)


CuBI2N after structural relaxation, computed with PBE.

The polymorph energy (0 for the lowest one) is 0.0000 eV/atom.

a = 6.425 Å, b = 6.425 Å, c = 2.768 Å
α = 90.00°, β = 90.00°, γ = 90.00°
Space group P4/mmm (No. 123)
One atom of each set of equivalent atoms:
Cu1 0.000 0.000 0.000 (multiplicity 1)
B1 0.500 0.500 0.500 (multiplicity 1)
I1 0.000 0.500 0.500 (multiplicity 2)
N1 0.500 0.500 0.000 (multiplicity 1)


CuBIN2 after structural relaxation, computed with PBE.

The polymorph energy (0 for the lowest one) is 0.7183 eV/atom.

a = 3.597 Å, b = 3.597 Å, c = 7.329 Å
α = 90.00°, β = 90.00°, γ = 90.00°
Space group P4/mmm (No. 123)
One atom of each set of equivalent atoms:
Cu1 0.000 0.000 0.000 (multiplicity 1)
B1 0.500 0.500 0.500 (multiplicity 1)
I1 0.000 0.000 0.500 (multiplicity 1)
N1 0.000 0.500 0.000 (multiplicity 2)


CuBI2O after structural relaxation, computed with PBE.

The polymorph energy (0 for the lowest one) is 0.0000 eV/atom.

a = 6.121 Å, b = 6.121 Å, c = 2.818 Å
α = 90.00°, β = 90.00°, γ = 90.00°
Space group P4/mmm (No. 123)
One atom of each set of equivalent atoms:
Cu1 0.000 0.000 0.000 (multiplicity 1)
B1 0.500 0.500 0.500 (multiplicity 1)
I1 0.000 0.500 0.500 (multiplicity 2)
O1 0.500 0.500 0.000 (multiplicity 1)


CuBIO2 after structural relaxation, computed with PBE.

The polymorph energy (0 for the lowest one) is 0.0000 eV/atom.

a = 3.394 Å, b = 3.394 Å, c = 6.024 Å
α = 90.00°, β = 90.00°, γ = 90.00°
Space group P4/mmm (No. 123)
One atom of each set of equivalent atoms:
Cu1 0.000 0.000 0.000 (multiplicity 1)
B1 0.500 0.500 0.500 (multiplicity 1)
I1 0.500 0.500 0.000 (multiplicity 1)
O1 0.000 0.500 0.500 (multiplicity 2)


CuBIO2 after structural relaxation, computed with PBE.

The polymorph energy (0 for the lowest one) is 0.6541 eV/atom.

a = 3.627 Å, b = 3.627 Å, c = 6.591 Å
α = 90.00°, β = 90.00°, γ = 90.00°
Space group P4/mmm (No. 123)
One atom of each set of equivalent atoms:
Cu1 0.000 0.000 0.000 (multiplicity 1)
B1 0.500 0.500 0.500 (multiplicity 1)
I1 0.000 0.000 0.500 (multiplicity 1)
O1 0.000 0.500 0.000 (multiplicity 2)


CuBI2O after structural relaxation, computed with PBE.

The polymorph energy (0 for the lowest one) is 0.7040 eV/atom.

a = 5.719 Å, b = 5.719 Å, c = 3.544 Å
α = 90.00°, β = 90.00°, γ = 90.00°
Space group P4/mmm (No. 123)
One atom of each set of equivalent atoms:
Cu1 0.000 0.000 0.000 (multiplicity 1)
B1 0.500 0.500 0.500 (multiplicity 1)
I1 0.000 0.500 0.000 (multiplicity 2)
O1 0.000 0.000 0.500 (multiplicity 1)


CuBPdI2 after structural relaxation, computed with PBE.

The polymorph energy (0 for the lowest one) is 0.4233 eV/atom.

a = 5.285 Å, b = 5.285 Å, c = 4.811 Å
α = 90.00°, β = 90.00°, γ = 90.00°
Space group P4/mmm (No. 123)
One atom of each set of equivalent atoms:
Cu1 0.000 0.000 0.000 (multiplicity 1)
B1 0.500 0.500 0.500 (multiplicity 1)
Pd1 0.000 0.000 0.500 (multiplicity 1)
I1 0.000 0.500 0.000 (multiplicity 2)


CuBPdI2 after structural relaxation, computed with PBE.

The polymorph energy (0 for the lowest one) is 0.0000 eV/atom.

a = 5.452 Å, b = 5.452 Å, c = 3.849 Å
α = 90.00°, β = 90.00°, γ = 90.00°
Space group P4/mmm (No. 123)
One atom of each set of equivalent atoms:
Cu1 0.000 0.000 0.000 (multiplicity 1)
B1 0.000 0.000 0.500 (multiplicity 1)
Pd1 0.500 0.500 0.500 (multiplicity 1)
I1 0.000 0.500 0.000 (multiplicity 2)


Cu2BPtI after structural relaxation, computed with PBE.

a = 4.839 Å, b = 4.839 Å, c = 5.139 Å
α = 90.00°, β = 90.00°, γ = 90.00°
Space group P4/mmm (No. 123)
One atom of each set of equivalent atoms:
Cu1 0.000 0.500 0.000 (multiplicity 2)
B1 0.000 0.000 0.500 (multiplicity 1)
Pt1 0.500 0.500 0.500 (multiplicity 1)
I1 0.500 0.500 0.000 (multiplicity 1)


Rb2CuBI6 after structural relaxation, computed with PBE.

a = 8.017 Å, b = 8.017 Å, c = 12.107 Å
α = 90.00°, β = 90.00°, γ = 90.00°
Space group I4/mmm (No. 139)
One atom of each set of equivalent atoms:
Rb1 0.000 0.500 0.250 (multiplicity 4)
Cu1 0.000 0.000 0.000 (multiplicity 2)
B1 0.000 0.000 0.500 (multiplicity 2)
I1 0.000 0.000 0.205 (multiplicity 4)
I2 0.216 0.216 0.500 (multiplicity 8)


CuBSbI2 after structural relaxation, computed with PBE.

The polymorph energy (0 for the lowest one) is 0.0000 eV/atom.

a = 5.007 Å, b = 5.007 Å, c = 4.984 Å
α = 90.00°, β = 90.00°, γ = 90.00°
Space group P4/mmm (No. 123)
One atom of each set of equivalent atoms:
Cu1 0.000 0.000 0.000 (multiplicity 1)
B1 0.500 0.500 0.500 (multiplicity 1)
Sb1 0.500 0.500 0.000 (multiplicity 1)
I1 0.000 0.500 0.500 (multiplicity 2)


Number 1: V 16.63 Å³/atom, total moment 0.3 μB/cell, uncorrected formation energy 1367 meV/atom. Number 2: V 22.85 Å³/atom, total moment 0.0 μB/cell, uncorrected formation energy 356 meV/atom. Number 3: V 18.97 Å³/atom, total moment 1.3 μB/cell, uncorrected formation energy 2086 meV/atom. Number 4: V 21.12 Å³/atom, total moment 0.3 μB/cell, uncorrected formation energy 179 meV/atom. Number 5: V 13.88 Å³/atom, total moment 0.0 μB/cell, uncorrected formation energy 150 meV/atom. Number 6: V 17.34 Å³/atom, total moment 1.2 μB/cell, uncorrected formation energy 804 meV/atom. Number 7: V 23.18 Å³/atom, total moment 1.0 μB/cell, uncorrected formation energy 883 meV/atom. Number 8: V 26.88 Å³/atom, total moment 0.0 μB/cell, uncorrected formation energy 1274 meV/atom. Number 9: V 22.88 Å³/atom, total moment 0.0 μB/cell, uncorrected formation energy 851 meV/atom. Number 10: V 24.07 Å³/atom, total moment 0.0 μB/cell, uncorrected formation energy 1877 meV/atom. Number 11: V 38.91 Å³/atom, total moment 0.0 μB/cell, uncorrected formation energy -364 meV/atom. Number 12: V 24.99 Å³/atom, total moment 0.0 μB/cell, uncorrected formation energy 1057 meV/atom.